(1)
A plane-wave DFT calculation with PBE was carried out for a geometry-optimized LaAlRh2Cl structure.

Final energy (eV per atom): -4.93

a = 4.5541 Å, b = 5.2533 Å, c = 4.5541 Å
α = 90.00°, β = 90.00°, γ = 90.00°
Atoms (fractional coordinates):
La: 0.0000 0.5000 0.0000
Al: 0.5000 0.5000 0.5000
Cl: 0.0000 0.0000 0.0000
Rh: 0.5000 0.0000 0.0000
Rh: 0.0000 0.0000 0.5000

(2)
A plane-wave DFT calculation with PBE was carried out for a geometry-optimized La4AlSCl2 structure.

Final energy (eV per atom): -5.30

a = 4.1846 Å, b = 7.5207 Å, c = 7.4450 Å
α = 70.95°, β = 90.00°, γ = 90.00°
Atoms (fractional coordinates):
Cl: 0.0000 0.0000 0.0000
Cl: 0.5000 0.0000 0.5000
La: 0.0000 0.2524 0.2657
La: 0.0000 0.7476 0.7343
La: 0.5000 0.2696 0.7318
La: 0.5000 0.7304 0.2682
S: 0.0000 0.5000 0.5000
Al: 0.5000 0.5000 0.0000

(3)
A plane-wave DFT calculation with PBE was carried out for a geometry-optimized LaAlS2Cl structure.

E above lowest polymorph (meV per atom): 524
Final energy (eV per atom): -4.51

a = 5.5029 Å, b = 5.5029 Å, c = 5.5964 Å
α = 90.00°, β = 90.00°, γ = 90.00°
Atoms (fractional coordinates):
S: 0.0000 0.5000 0.0000
S: 0.5000 0.0000 0.0000
Cl: 0.0000 0.0000 0.5000
La: 0.0000 0.0000 0.0000
Al: 0.5000 0.5000 0.5000

(4)
A plane-wave DFT calculation with PBE was carried out for a geometry-optimized LaAlS2Cl structure.

E above lowest polymorph (meV per atom): 0
Final energy (eV per atom): -5.03

a = 4.7798 Å, b = 4.7798 Å, c = 4.6547 Å
α = 90.00°, β = 90.00°, γ = 90.00°
Each line ends with the local moment (μB).
Atoms (fractional coordinates):
S: 0.5000 0.0000 0.0000  0.00
S: 0.0000 0.5000 0.0000  0.00
Al: 0.0000 0.0000 0.0000  0.01
La: 0.5000 0.5000 0.5000  0.24
Cl: 0.0000 0.0000 0.5000  0.00

(5)
A plane-wave DFT calculation with PBE was carried out for a geometry-optimized La4AlSeCl2 structure.

Final energy (eV per atom): -5.18

a = 4.2717 Å, b = 7.3289 Å, c = 7.6590 Å
α = 70.35°, β = 90.00°, γ = 90.00°
Atoms (fractional coordinates):
La: 0.0000 0.7552 0.7441
La: 0.5000 0.7476 0.2508
La: 0.0000 0.2448 0.2559
La: 0.5000 0.2524 0.7492
Cl: 0.0000 0.0000 0.0000
Cl: 0.5000 0.0000 0.5000
Se: 0.0000 0.5000 0.5000
Al: 0.5000 0.5000 0.0000

(6)
A plane-wave DFT calculation with PBE was carried out for a geometry-optimized LaAl2SiCl structure.

Final energy (eV per atom): -4.11

a = 4.7002 Å, b = 6.0134 Å, c = 4.7002 Å
α = 90.00°, β = 90.00°, γ = 90.00°
Atoms (fractional coordinates):
Cl: 0.5000 0.5000 0.5000
Si: 0.0000 0.0000 0.0000
Al: 0.0000 0.0000 0.5000
Al: 0.5000 0.0000 0.0000
La: 0.0000 0.5000 0.0000

(7)
A plane-wave DFT calculation with PBE was carried out for a geometry-optimized LiAlCl2 structure.

E above lowest polymorph (meV per atom): 138
Final energy (eV per atom): -3.27

a = 3.6489 Å, b = 3.6489 Å, c = 7.7268 Å
α = 90.00°, β = 90.00°, γ = 120.64°
Atoms (fractional coordinates):
Cl: 0.0000 0.0000 0.0340
Cl: 0.0000 0.0000 0.4660
Al: 0.5000 0.5000 0.7500
Li: 0.5000 0.5000 0.2500

(8)
A plane-wave DFT calculation with PBE was carried out for a geometry-optimized LiAlCl4 structure.

E above lowest polymorph (meV per atom): 0
Final energy (eV per atom): -3.83

a = 8.4053 Å, b = 6.5270 Å, c = 13.1272 Å
α = 88.77°, β = 90.00°, γ = 90.00°
Atoms (fractional coordinates):
Cl: 0.0641 0.1806 0.8452
Cl: 0.0101 0.1850 0.3674
Cl: 0.7422 0.7044 0.4226
Cl: 0.2578 0.2956 0.5774
Cl: 0.5641 0.8194 0.6548
Cl: 0.9899 0.8150 0.6326
Cl: 0.2720 0.6454 0.8698
Cl: 0.5101 0.8150 0.1326
Cl: 0.7578 0.7044 0.9226
Cl: 0.2422 0.2956 0.0774
Cl: 0.2280 0.6454 0.3698
Cl: 0.7720 0.3546 0.6302
Cl: 0.9359 0.8194 0.1548
Cl: 0.4899 0.1850 0.8674
Cl: 0.4359 0.1806 0.3452
Cl: 0.7280 0.3546 0.1302
Li: 0.9794 0.8180 0.3378
Li: 0.0206 0.1820 0.6622
Li: 0.5206 0.8180 0.8378
Li: 0.4794 0.1820 0.1622
Al: 0.7317 0.6766 0.0865
Al: 0.2317 0.3234 0.4135
Al: 0.2683 0.3234 0.9135
Al: 0.7683 0.6766 0.5865

(9)
A plane-wave DFT calculation with PBE was carried out for a geometry-optimized LiAlCl2 structure.

E above lowest polymorph (meV per atom): 160
Final energy (eV per atom): -3.25

a = 6.1814 Å, b = 6.1814 Å, c = 3.3591 Å
α = 57.34°, β = 57.34°, γ = 73.09°
Atoms (fractional coordinates):
Al: 0.0000 0.5000 0.5000
Cl: 0.0000 0.0000 0.0000
Cl: 0.5000 0.5000 0.0000
Li: 0.5000 0.0000 0.5000

(10)
A plane-wave DFT calculation with PBE was carried out for a geometry-optimized Li2AlCl structure.

E above lowest polymorph (meV per atom): 55
Final energy (eV per atom): -3.04

a = 3.1870 Å, b = 3.1870 Å, c = 8.0340 Å
α = 90.00°, β = 90.00°, γ = 114.22°
Atoms (fractional coordinates):
Li: 0.0000 0.0000 0.9528
Li: 0.0000 0.0000 0.5472
Al: 0.5000 0.5000 0.2500
Cl: 0.5000 0.5000 0.7500

(11)
A plane-wave DFT calculation with PBE was carried out for a geometry-optimized LiAlCl2 structure.

E above lowest polymorph (meV per atom): 268
Final energy (eV per atom): -3.14

a = 4.9865 Å, b = 4.9865 Å, c = 4.9865 Å
α = 60.00°, β = 60.00°, γ = 60.00°
Atoms (fractional coordinates):
Cl: 0.2500 0.2500 0.2500
Cl: 0.7500 0.7500 0.7500
Al: 0.5000 0.5000 0.5000
Li: 0.0000 0.0000 0.0000

(12)
A plane-wave DFT calculation with PBE was carried out for a geometry-optimized LiAlCl structure.

E above lowest polymorph (meV per atom): 543
Final energy (eV per atom): -2.60

a = 4.6715 Å, b = 4.6715 Å, c = 4.6715 Å
α = 60.00°, β = 60.00°, γ = 60.00°
Atoms (fractional coordinates):
Li: 0.7500 0.7500 0.7500
Cl: 0.5000 0.5000 0.5000
Al: 0.0000 0.0000 0.0000